The following is a DFT calculation (GGA-PBE) of a relaxed structure of KLiNi.

Values from the calculation:
Electronic total energy = -2.230 eV/atom
Calculated formation energy = 701 meV/atom
Magnetic moment = 0.10 μB/f.u.
Offset from the most stable computed form = 0.2549 eV/atom

abc: 4.892 4.892 4.892
angles: 60.00 60.00 60.00
Last column: magnetic moment on the atom in μB.
Positions (direct):
K  0.000  0.000  0.000  -0.01
Li  0.500  0.500  0.500  -0.01
Ni  0.750  0.750  0.750  0.22

=====

The following is a DFT calculation (GGA-PBE) of a relaxed structure of KLiNi.

Values from the calculation:
Electronic total energy = -2.485 eV/atom
Calculated formation energy = 446 meV/atom
Magnetic moment = 0.00 μB/f.u.
Offset from the most stable computed form = 0.0000 eV/atom

abc: 6.285 6.285 6.285
angles: 152.90 143.28 46.22
Positions (direct):
Ni  0.720  0.720  0.000
Li  0.273  0.273  0.000
K  0.007  0.007  0.000

=====

The following is a DFT calculation (GGA-PBE) of a relaxed structure of KLi2Ni.

Values from the calculation:
Electronic total energy = -2.158 eV/atom
Calculated formation energy = 519 meV/atom
Magnetic moment = 0.00 μB/f.u.
Offset from the most stable computed form = 0.2008 eV/atom

abc: 5.407 5.407 5.407
angles: 130.74 130.74 72.22
Positions (direct):
Ni  0.500  0.500  0.000
Li  0.250  0.750  0.500
Li  0.000  0.000  0.000
K  0.750  0.250  0.500

=====

The following is a DFT calculation (GGA-PBE) of a relaxed structure of KLi2Ni.

Values from the calculation:
Electronic total energy = -2.149 eV/atom
Calculated formation energy = 528 meV/atom
Magnetic moment = 0.00 μB/f.u.
Offset from the most stable computed form = 0.2100 eV/atom

abc: 4.614 4.614 4.033
angles: 90.00 90.00 90.16
Positions (direct):
K  0.000  0.500  0.500
Ni  0.500  0.000  0.500
Li  0.000  0.000  0.000
Li  0.500  0.500  0.000

=====

The following is a DFT calculation (GGA-PBE) of a relaxed structure of KLiNi.

Values from the calculation:
Electronic total energy = -2.288 eV/atom
Calculated formation energy = 643 meV/atom
Magnetic moment = 0.00 μB/f.u.
Offset from the most stable computed form = 0.1970 eV/atom

abc: 3.198 3.198 7.659
angles: 90.00 90.00 120.00
Positions (direct):
K  0.000  0.000  0.957
Li  0.667  0.333  0.410
Ni  0.333  0.667  0.633

=====

The following is a DFT calculation (GGA-PBE) of a relaxed structure of KLi2Ni.

Values from the calculation:
Electronic total energy = -2.358 eV/atom
Calculated formation energy = 318 meV/atom
Magnetic moment = 0.00 μB/f.u.
Offset from the most stable computed form = 0.0007 eV/atom

abc: 6.537 6.537 6.537
angles: 38.76 38.76 38.76
Positions (direct):
K  0.750  0.750  0.750
Li  0.946  0.946  0.946
Li  0.554  0.554  0.554
Ni  0.250  0.250  0.250